Record 1
Computed, not measured: a relaxed structure of ZrAl2 at the PBE level of DFT.

Calculated values
The total magnetization is 0.00 μB per cell. For the uncorrected energy, the calculation gives -5.4706 eV per atom. The density of states at the Fermi level is 2.5 states/eV per cell. For the formation energy, the calculation gives -0.126 eV per atom.

Cell: 3.0336 3.0336 7.1936 Å, 90.00 90.00 120.00°
Space group P-3m1 (No. 164)
One atom of each set of equivalent atoms:
Zr 0.0000 0.0000 0.0000
Al 0.3333 0.6667 0.3419

=====

Record 2
Computed, not measured: a relaxed structure of ZrAl2 at the PBE level of DFT.

Calculated values
The total magnetization is 0.00 μB per cell. For the uncorrected energy, the calculation gives -5.6182 eV per atom. The density of states at the Fermi level is 8.0 states/eV per cell. For the formation energy, the calculation gives -0.274 eV per atom.

Cell: 10.825 3.126 7.051 Å, 90.00 107.28 90.00°
Space group Cm (No. 8)
One atom of each set of equivalent atoms:
Zr 0.000 0.000 0.000
Zr 0.174 0.500 0.349
Al 0.123 0.500 0.740
Al 0.284 0.000 0.075
Al 0.340 0.000 0.670
Al 0.455 0.500 0.405

=====

Record 3
Computed, not measured: a relaxed structure of ZrAl5 at the PBE level of DFT.

Calculated values
The total magnetization is 0.00 μB per cell. For the uncorrected energy, the calculation gives -4.6748 eV per atom. The density of states at the Fermi level is 6.3 states/eV per cell. For the formation energy, the calculation gives -0.131 eV per atom.

Cell: 4.718 2.950 15.220 Å, 90.00 90.00 90.00°
Space group Amm2 (No. 38)
One atom of each set of equivalent atoms:
Zr 0.000 0.000 0.000
Al 0.000 0.000 0.333
Al 0.000 0.000 0.667
Al 0.500 0.000 0.113
Al 0.500 0.000 0.442
Al 0.500 0.000 0.777

=====

Record 4
Computed, not measured: a relaxed structure of ZrAl3 at the PBE level of DFT.

Calculated values
The total magnetization is 0.00 μB per cell. For the uncorrected energy, the calculation gives -5.2520 eV per atom. The density of states at the Fermi level is 3.8 states/eV per cell. For the formation energy, the calculation gives -0.308 eV per atom.

Cell: 3.030 9.529 5.034 Å, 90.00 90.00 90.00°
Space group Imm2 (No. 44)
One atom of each set of equivalent atoms:
Zr 0.000 0.000 0.000
Al 0.000 0.248 0.334
Al 0.000 0.500 0.995

=====

Record 5
Computed, not measured: a relaxed structure of ZrAl5 at the PBE level of DFT.

Calculated values
The total magnetization is 0.00 μB per cell. For the uncorrected energy, the calculation gives -4.7084 eV per atom. The density of states at the Fermi level is 6.5 states/eV per cell. For the formation energy, the calculation gives -0.165 eV per atom.

Cell: 10.572 3.024 6.855 Å, 90.00 104.20 90.00°
Space group Cm (No. 8)
One atom of each set of equivalent atoms:
Zr 0.000 0.000 0.000
Al 0.119 0.500 0.722
Al 0.165 0.500 0.340
Al 0.277 0.000 0.059
Al 0.340 0.000 0.657
Al 0.447 0.500 0.393

=====

Record 6
Computed, not measured: a relaxed structure of ZrAl4 at the PBE level of DFT.

Calculated values
The total magnetization is 0.00 μB per cell. For the uncorrected energy, the calculation gives -4.7349 eV per atom. The value obtained for the energy above the lowest structure with this stoichiometry is 1.09 eV per formula unit. The density of states at the Fermi level is 6.9 states/eV per cell. For the formation energy, the calculation gives -0.031 eV per atom.

Cell: 3.961 3.961 11.762 Å, 90.00 90.00 90.00°
Space group I4/mmm (No. 139)
One atom of each set of equivalent atoms:
Zr 0.000 0.000 0.000
Al 0.000 0.000 0.398
Al 0.000 0.500 0.250

=====

Record 7
Computed, not measured: a relaxed structure of ZrAl5 at the PBE level of DFT.

Calculated values
The total magnetization is 0.00 μB per cell. For the uncorrected energy, the calculation gives -4.7948 eV per atom. The density of states at the Fermi level is 6.0 states/eV per cell. For the formation energy, the calculation gives -0.251 eV per atom.

Cell: 4.080 12.820 3.948 Å, 90.00 90.00 90.00°
Space group Cmmm (No. 65)
One atom of each set of equivalent atoms:
Zr 0.000 0.000 0.000
Al 0.000 0.172 0.500
Al 0.000 0.335 0.000
Al 0.000 0.500 0.500

=====

Record 8
Computed, not measured: a relaxed structure of Zr2Al at the PBE level of DFT.

Calculated values
The total magnetization is 0.00 μB per cell. For the uncorrected energy, the calculation gives -7.2603 eV per atom. The density of states at the Fermi level is 13.6 states/eV per cell. For the formation energy, the calculation gives -0.314 eV per atom.

Cell: 4.402 13.664 4.102 Å, 90.00 90.00 90.00°
Space group Cmmm (No. 65)
One atom of each set of equivalent atoms:
Zr 0.000 0.000 0.000
Zr 0.000 0.172 0.500
Zr 0.000 0.500 0.500
Al 0.000 0.338 0.000

=====

Record 9
Computed, not measured: a relaxed structure of Zn3O3Ar at the PBE level of DFT.

Calculated values
The total magnetization is 0.00 μB per cell. For the uncorrected energy, the calculation gives -3.7459 eV per atom.

Cell: 5.760 5.760 5.760 Å, 90.00 90.00 90.00°
Space group Pm-3n (No. 223)
One atom of each set of equivalent atoms:
Zn 0.000 0.250 0.500
O 0.000 0.500 0.250
Ar 0.000 0.000 0.000

=====

Record 10
Computed, not measured: a relaxed structure of Si23Ar at the PBE level of DFT.

Calculated values
The total magnetization is 0.00 μB per cell. For the uncorrected energy, the calculation gives -5.1002 eV per atom.

Cell: 10.268 10.268 10.268 Å, 90.00 90.00 90.00°
Space group Pm-3n (No. 223)
One atom of each set of equivalent atoms:
Si 0.000 0.118 0.308
Si 0.000 0.250 0.500
Si 0.184 0.184 0.184
Ar 0.000 0.000 0.000

=====

Record 11
Computed, not measured: a relaxed structure of As at the PBE level of DFT.

Calculated values
The total magnetization is 0.00 μB per cell. For the uncorrected energy, the calculation gives -4.3184 eV per atom. The value obtained for the energy above the lowest structure with this stoichiometry is 0.33 eV per formula unit. The density of states at the Fermi level is 9.4 states/eV per cell. For the formation energy, the calculation gives 0.331 eV per atom.

Cell: 6.134 6.134 6.134 Å, 90.00 90.00 90.00°
Space group Fd-3m (No. 227, origin choice 2)
One atom of each set of equivalent atoms:
As 0.125 0.125 0.125

=====

Record 12
Computed, not measured: a relaxed structure of As at the PBE level of DFT.

Calculated values
The total magnetization is 0.00 μB per cell. For the uncorrected energy, the calculation gives -4.4877 eV per atom. The value obtained for the energy above the lowest structure with this stoichiometry is 0.16 eV per formula unit. The density of states at the Fermi level is 3.2 states/eV per cell. For the formation energy, the calculation gives 0.162 eV per atom.

Cell: 8.3590 8.3590 5.5476 Å, 90.00 90.00 120.00°
Space group P6_3/mmc (No. 194)
One atom of each set of equivalent atoms:
As 0.0365 0.3688 0.2500